First-principles (PBEsol) data for LiVP3HO10 after structural relaxation, as listed in the Alexandria database.

Output
Total energy in eV/atom: -7.388
Energy above the most stable polymorph in this dataset in meV per atom: 12.4

Unit cell a=12.129 b=8.436 c=9.288 alpha=90.00 beta=112.95 gamma=90.00
Space group C2/c (No. 15)
Symmetry-distinct sites (fractional):
Li: 0.000 0.224 0.250 x4
V: 0.250 0.250 0.000 x4
P: 0.000 0.376 0.750 x4
P: 0.208 0.429 0.298 x8
H: 0.250 0.250 0.500 x4
O: 0.075 0.287 0.895 x8
O: 0.079 0.493 0.693 x8
O: 0.169 0.290 0.379 x8
O: 0.214 0.051 0.090 x8
O: 0.240 0.129 0.816 x8